First-principles (PBE-GGA) data for a geometry-optimized GdDyThHg structure, as listed in the Alexandria database.

Cell and atoms, written as POSCAR:
```
GdDyThHg
1.0
5.460 0.000 0.000
2.730 4.729 0.000
2.730 1.576 4.458
Hg Th Dy Gd
1 1 1 1
direct
0.500 0.500 0.500
0.000 0.000 0.000
0.750 0.750 0.750
0.250 0.250 0.250
```

Results
DOS(E_F), states/eV per cell: 5.7
Space group: F-43m
Calculated formation energy, meV/atom: 54
Calculated density, g/cm3: 10.85


First-principles (PBE-GGA) data for a geometry-optimized GdDyTlHg structure, as listed in the Alexandria database.

Cell and atoms, written as POSCAR:
```
GdDyTlHg
1.0
5.334 0.000 0.000
2.667 4.619 0.000
2.667 1.540 4.355
Dy Gd Tl Hg
1 1 1 1
direct
0.250 0.250 0.250
0.750 0.750 0.750
0.000 0.000 0.000
0.500 0.500 0.500
```

Results
DOS(E_F), states/eV per cell: 4.6
Space group: F-43m
Calculated formation energy, meV/atom: -434
Calculated density, g/cm3: 11.22


Question: DOS(E_F) of number 2 (GdDyTlHg)?
Answer: 4.6 states/eV per cell


Question: calculated density of number 1 (GdDyThHg)?
Answer: 10.85 g/cm3


Question: Among the records above, which one has the highest calculated formation energy?
Answer: GdDyThHg


Question: Number 1 is which compound?
Answer: GdDyThHg